TeP3O9 | PBE-GGA | relaxed

CIF file:
```
data_TeP3O9
_space_group_name_H-M_alt 'C 1 c 1'
_space_group_IT_number 9
_space_group_name_Hall 'C -2yc'
_cell_length_a 14.024
_cell_length_b 7.156
_cell_length_c 9.811
_cell_angle_alpha 90.00
_cell_angle_beta 127.71
_cell_angle_gamma 90.00
loop_
_atom_site_label
_atom_site_type_symbol
_atom_site_fract_x
_atom_site_fract_y
_atom_site_fract_z
_atom_site_occupancy
Te1 Te 0.000 0.243 0.000 1
P1 P 0.150 0.439 0.845 1
P2 P 0.241 0.115 0.772 1
P3 P 0.356 0.388 0.680 1
O1 O 0.050 0.362 0.846 1
O2 O 0.107 0.465 0.179 1
O3 O 0.119 0.112 0.602 1
O4 O 0.227 0.412 0.497 1
O5 O 0.247 0.285 0.893 1
O6 O 0.299 0.052 0.385 1
O7 O 0.341 0.201 0.750 1
O8 O 0.374 0.446 0.290 1
O9 O 0.454 0.363 0.660 1
```

***

Te3P2O11 | PBE-GGA | relaxed

- DOS at the Fermi energy: 0.00 states/eV/f.u.

CIF file:
```
data_Te3P2O11
_space_group_name_H-M_alt 'P 1 21/c 1'
_space_group_IT_number 14
_space_group_name_Hall '-P 2ybc'
_cell_length_a 12.659
_cell_length_b 7.494
_cell_length_c 10.143
_cell_angle_alpha 90.00
_cell_angle_beta 98.03
_cell_angle_gamma 90.00
loop_
_atom_site_label
_atom_site_type_symbol
_atom_site_fract_x
_atom_site_fract_y
_atom_site_fract_z
_atom_site_occupancy
Te1 Te 0.141 0.222 0.133 1
Te2 Te 0.263 0.695 0.031 1
Te3 Te 0.350 0.244 0.946 1
P1 P 0.087 0.695 0.732 1
P2 P 0.427 0.686 0.327 1
O1 O 0.030 0.248 0.288 1
O2 O 0.095 0.533 0.632 1
O3 O 0.125 0.644 0.878 1
O4 O 0.160 0.657 0.183 1
O5 O 0.244 0.106 0.020 1
O6 O 0.245 0.201 0.281 1
O7 O 0.270 0.058 0.549 1
O8 O 0.374 0.654 0.895 1
O9 O 0.378 0.512 0.372 1
O10 O 0.404 0.709 0.173 1
O11 O 0.451 0.190 0.137 1
```

***

TeP2O2 | PBE-GGA | relaxed

- DOS at the Fermi energy: 2.07 states/eV/f.u.
- Distance to the lowest polymorph of the same formula: 348.9 meV/atom

CIF file:
```
data_TeP2O2
_space_group_name_H-M_alt 'P 4/m m m'
_space_group_IT_number 123
_space_group_name_Hall '-P 4 2'
_cell_length_a 3.884
_cell_length_b 3.884
_cell_length_c 5.566
_cell_angle_alpha 90.00
_cell_angle_beta 90.00
_cell_angle_gamma 90.00
loop_
_atom_site_label
_atom_site_type_symbol
_atom_site_fract_x
_atom_site_fract_y
_atom_site_fract_z
_atom_site_occupancy
Te1 Te 0.000 0.000 0.000 1
P1 P 0.000 0.000 0.500 1
P2 P 0.500 0.500 0.500 1
O1 O 0.000 0.500 0.000 1
```

***

TiTeP2O | PBE-GGA | relaxed

- DOS at the Fermi energy: 4.56 states/eV/f.u.
- Distance to the lowest polymorph of the same formula: 986.4 meV/atom

CIF file:
```
data_TiTeP2O
_space_group_name_H-M_alt 'P 4/m m m'
_space_group_IT_number 123
_space_group_name_Hall '-P 4 2'
_cell_length_a 5.018
_cell_length_b 5.018
_cell_length_c 3.913
_cell_angle_alpha 90.00
_cell_angle_beta 90.00
_cell_angle_gamma 90.00
loop_
_atom_site_label
_atom_site_type_symbol
_atom_site_fract_x
_atom_site_fract_y
_atom_site_fract_z
_atom_site_occupancy
Ti1 Ti 0.000 0.000 0.000 1
Te1 Te 0.500 0.500 0.500 1
P1 P 0.000 0.500 0.500 1
O1 O 0.500 0.500 0.000 1
```

***

TiTeP2O | PBE-GGA | relaxed

- DOS at the Fermi energy: 2.75 states/eV/f.u.
- Distance to the lowest polymorph of the same formula: 0.0 meV/atom

CIF file:
```
data_TiTeP2O
_space_group_name_H-M_alt 'P 4/m m m'
_space_group_IT_number 123
_space_group_name_Hall '-P 4 2'
_cell_length_a 4.984
_cell_length_b 4.984
_cell_length_c 3.701
_cell_angle_alpha 90.00
_cell_angle_beta 90.00
_cell_angle_gamma 90.00
loop_
_atom_site_label
_atom_site_type_symbol
_atom_site_fract_x
_atom_site_fract_y
_atom_site_fract_z
_atom_site_occupancy
Ti1 Ti 0.000 0.000 0.000 1
Te1 Te 0.500 0.500 0.500 1
P1 P 0.000 0.500 0.000 1
O1 O 0.000 0.000 0.500 1
```

***

Tl2TePO | PBE-GGA | relaxed

- DOS at the Fermi energy: 3.47 states/eV/f.u.

CIF file:
```
data_Tl2TePO
_space_group_name_H-M_alt 'P 4/m m m'
_space_group_IT_number 123
_space_group_name_Hall '-P 4 2'
_cell_length_a 5.837
_cell_length_b 5.837
_cell_length_c 3.567
_cell_angle_alpha 90.00
_cell_angle_beta 90.00
_cell_angle_gamma 90.00
loop_
_atom_site_label
_atom_site_type_symbol
_atom_site_fract_x
_atom_site_fract_y
_atom_site_fract_z
_atom_site_occupancy
Tl1 Tl 0.000 0.500 0.000 1
Te1 Te 0.000 0.000 0.500 1
P1 P 0.500 0.500 0.000 1
O1 O 0.500 0.500 0.500 1
```

***

TlTeP2O | PBE-GGA | relaxed

- DOS at the Fermi energy: 3.72 states/eV/f.u.
- Distance to the lowest polymorph of the same formula: 0.0 meV/atom

CIF file:
```
data_TlTeP2O
_space_group_name_H-M_alt 'P 4/m m m'
_space_group_IT_number 123
_space_group_name_Hall '-P 4 2'
_cell_length_a 5.254
_cell_length_b 5.254
_cell_length_c 4.016
_cell_angle_alpha 90.00
_cell_angle_beta 90.00
_cell_angle_gamma 90.00
loop_
_atom_site_label
_atom_site_type_symbol
_atom_site_fract_x
_atom_site_fract_y
_atom_site_fract_z
_atom_site_occupancy
Tl1 Tl 0.000 0.000 0.000 1
Te1 Te 0.500 0.500 0.500 1
P1 P 0.000 0.500 0.500 1
O1 O 0.500 0.500 0.000 1
```

***

TlTeP2O | PBE-GGA | relaxed

- DOS at the Fermi energy: 4.04 states/eV/f.u.
- Distance to the lowest polymorph of the same formula: 449.4 meV/atom

CIF file:
```
data_TlTeP2O
_space_group_name_H-M_alt 'P 4/m m m'
_space_group_IT_number 123
_space_group_name_Hall '-P 4 2'
_cell_length_a 5.197
_cell_length_b 5.197
_cell_length_c 4.123
_cell_angle_alpha 90.00
_cell_angle_beta 90.00
_cell_angle_gamma 90.00
loop_
_atom_site_label
_atom_site_type_symbol
_atom_site_fract_x
_atom_site_fract_y
_atom_site_fract_z
_atom_site_occupancy
Tl1 Tl 0.000 0.000 0.000 1
Te1 Te 0.500 0.500 0.500 1
P1 P 0.000 0.500 0.000 1
O1 O 0.000 0.000 0.500 1
```

***

TlTePO2 | PBE-GGA | relaxed

- DOS at the Fermi energy: 6.04 states/eV/f.u.
- Distance to the lowest polymorph of the same formula: 782.7 meV/atom

CIF file:
```
data_TlTePO2
_space_group_name_H-M_alt 'P 4/m m m'
_space_group_IT_number 123
_space_group_name_Hall '-P 4 2'
_cell_length_a 4.122
_cell_length_b 4.122
_cell_length_c 5.957
_cell_angle_alpha 90.00
_cell_angle_beta 90.00
_cell_angle_gamma 90.00
loop_
_atom_site_label
_atom_site_type_symbol
_atom_site_fract_x
_atom_site_fract_y
_atom_site_fract_z
_atom_site_occupancy
Tl1 Tl 0.000 0.000 0.000 1
Te1 Te 0.500 0.500 0.500 1
P1 P 0.000 0.000 0.500 1
O1 O 0.000 0.500 0.000 1
```

***

TlTePO2 | PBE-GGA | relaxed

- DOS at the Fermi energy: 2.20 states/eV/f.u.
- Distance to the lowest polymorph of the same formula: 0.0 meV/atom

CIF file:
```
data_TlTePO2
_space_group_name_H-M_alt 'P 4/m m m'
_space_group_IT_number 123
_space_group_name_Hall '-P 4 2'
_cell_length_a 4.082
_cell_length_b 4.082
_cell_length_c 5.426
_cell_angle_alpha 90.00
_cell_angle_beta 90.00
_cell_angle_gamma 90.00
loop_
_atom_site_label
_atom_site_type_symbol
_atom_site_fract_x
_atom_site_fract_y
_atom_site_fract_z
_atom_site_occupancy
Tl1 Tl 0.000 0.000 0.000 1
Te1 Te 0.500 0.500 0.500 1
P1 P 0.500 0.500 0.000 1
O1 O 0.000 0.500 0.500 1
```

***

Y8Te3P3O | PBE-GGA | relaxed

- DOS at the Fermi energy: 7.38 states/eV/f.u.

CIF file:
```
data_Y8Te3P3O
_space_group_name_H-M_alt 'C 1 2/m 1'
_space_group_IT_number 12
_space_group_name_Hall '-C 2y'
_cell_length_a 13.882
_cell_length_b 8.003
_cell_length_c 8.439
_cell_angle_alpha 90.00
_cell_angle_beta 123.28
_cell_angle_gamma 90.00
loop_
_atom_site_label
_atom_site_type_symbol
_atom_site_fract_x
_atom_site_fract_y
_atom_site_fract_z
_atom_site_occupancy
Y1 Y 0.012 0.233 0.303 1
Y2 Y 0.221 0.000 0.697 1
Y3 Y 0.235 0.500 0.705 1
Te1 Te 0.000 0.000 0.000 1
Te2 Te 0.250 0.250 0.000 1
P1 P 0.000 0.500 0.500 1
P2 P 0.250 0.250 0.500 1
O1 O 0.000 0.000 0.500 1
```

***

Y8Te4P3O | PBE-GGA | relaxed

- DOS at the Fermi energy: 6.42 states/eV/f.u.

CIF file:
```
data_Y8Te4P3O
_space_group_name_H-M_alt 'R -3 m'
_space_group_IT_number 166
_space_group_name_Hall '-R 3 2"'
_cell_length_a 8.0775
_cell_length_b 8.0775
_cell_length_c 21.1204
_cell_angle_alpha 90.00
_cell_angle_beta 90.00
_cell_angle_gamma 120.00
loop_
_atom_site_label
_atom_site_type_symbol
_atom_site_fract_x
_atom_site_fract_y
_atom_site_fract_z
_atom_site_occupancy
Y1 Y 0.0000 0.0000 0.2361 1
Y2 Y 0.0119 0.5059 0.2334 1
Te1 Te 0.0000 0.0000 0.0000 1
Te2 Te 0.0000 0.5000 0.0000 1
P1 P 0.0000 0.5000 0.5000 1
O1 O 0.0000 0.0000 0.5000 1
```

***

Number 1: formation energy from raw total energies -1760 meV/atom. Number 2: formation energy from raw total energies -1526 meV/atom. Number 3: formation energy from raw total energies 138 meV/atom. Number 4: formation energy from raw total energies 459 meV/atom. Number 5: formation energy from raw total energies -527 meV/atom. Number 6: formation energy from raw total energies -243 meV/atom. Number 7: formation energy from raw total energies 399 meV/atom. Number 8: formation energy from raw total energies 848 meV/atom. Number 9: formation energy from raw total energies 499 meV/atom. Number 10: formation energy from raw total energies -284 meV/atom. Number 11: formation energy from raw total energies -1503 meV/atom. Number 12: formation energy from raw total energies -1623 meV/atom.